(1)
Computed, not measured: Y6S5N after structural relaxation at the PBE level of DFT. Values from VASP.

Computed properties:
- ΔE_f (raw): -1927 meV/atom
- D(E_F): 3.937 states/eV/cell
- Space-group type: C2/m (12)

Quantum ESPRESSO input file:
```
&SYSTEM
  ibrav = 0, nat = 12, ntyp = 3
/
ATOMIC_SPECIES
Y 88.91 Y.upf
S 32.06 S.upf
N 14.01 N.upf
CELL_PARAMETERS angstrom
3.3294 -5.7830 0.0000
3.3294 5.7830 0.0000
-2.2224 0.0000 6.3205
ATOMIC_POSITIONS crystal
Y 0.0755 0.3812 0.2260
Y 0.2314 0.2314 0.7703
Y 0.3812 0.0755 0.2260
Y 0.6188 0.9245 0.7740
Y 0.7686 0.7686 0.2297
Y 0.9245 0.6188 0.7740
S 0.1721 0.8279 0.5000
S 0.3334 0.6666 0.0000
S 0.5000 0.5000 0.5000
S 0.6666 0.3334 0.0000
S 0.8279 0.1721 0.5000
N 0.0000 0.0000 0.0000
```

(2)
Computed, not measured: Li3Ca2Mg2 after structural relaxation at the PBE level of DFT. Values from VASP.

Computed properties:
- D(E_F): 8.641 states/eV/cell
- Relative energy among the computed polymorphs: 13 meV/atom
- Space-group type: I2_13 (199)
- E_form: 0.114 eV per atom

Quantum ESPRESSO input file:
```
&SYSTEM
  ibrav = 0, nat = 14, ntyp = 3
/
ATOMIC_SPECIES
Li 6.94 Li.upf
Ca 40.08 Ca.upf
Mg 24.30 Mg.upf
CELL_PARAMETERS angstrom
-4.6029 4.6029 4.6029
4.6029 -4.6029 4.6029
4.6029 4.6029 -4.6029
ATOMIC_POSITIONS crystal
Li 0.0116 0.2616 0.7500
Li 0.2384 0.2500 0.4884
Li 0.2500 0.4884 0.2384
Li 0.2616 0.7500 0.0116
Li 0.4884 0.2384 0.2500
Li 0.7500 0.0116 0.2616
Ca 0.0000 0.5051 0.5000
Ca 0.5000 0.0000 0.5051
Ca 0.5051 0.5000 0.0000
Ca 0.9949 0.9949 0.9949
Mg 0.0000 0.8994 0.5000
Mg 0.5000 0.0000 0.8994
Mg 0.6006 0.6006 0.6006
Mg 0.8994 0.5000 0.0000
```

(3)
Computed, not measured: NaLaEuMg after structural relaxation at the PBE level of DFT. Values from VASP.

Computed properties:
- D(E_F): 44.076 states/eV/cell
- Space-group type: F-43m (216)
- E_form: 0.094 eV per atom

Quantum ESPRESSO input file:
```
&SYSTEM
  ibrav = 0, nat = 16, ntyp = 4
/
ATOMIC_SPECIES
Na 22.99 Na.upf
La 138.91 La.upf
Eu 151.96 Eu.upf
Mg 24.30 Mg.upf
CELL_PARAMETERS angstrom
8.1964 0.0000 0.0000
0.0000 8.1964 0.0000
0.0000 0.0000 8.1964
ATOMIC_POSITIONS crystal
Na 0.0000 0.0000 0.0000
Na 0.0000 0.5000 0.5000
Na 0.5000 0.0000 0.5000
Na 0.5000 0.5000 0.0000
La 0.2500 0.2500 0.7500
La 0.2500 0.7500 0.2500
La 0.7500 0.2500 0.2500
La 0.7500 0.7500 0.7500
Eu 0.2500 0.2500 0.2500
Eu 0.2500 0.7500 0.7500
Eu 0.7500 0.2500 0.7500
Eu 0.7500 0.7500 0.2500
Mg 0.0000 0.0000 0.5000
Mg 0.0000 0.5000 0.0000
Mg 0.5000 0.0000 0.0000
Mg 0.5000 0.5000 0.5000
```

(4)
Computed, not measured: Ho4ErRh3 after structural relaxation at the PBE level of DFT. Values from VASP.

Computed properties:
- D(E_F): 11.194 states/eV/cell
- Space-group type: I4/mcm (140)
- E_form: -0.715 eV per atom

Quantum ESPRESSO input file:
```
&SYSTEM
  ibrav = 0, nat = 16, ntyp = 3
/
ATOMIC_SPECIES
Ho 164.93 Ho.upf
Er 167.26 Er.upf
Rh 102.91 Rh.upf
CELL_PARAMETERS angstrom
-5.4746 5.4746 3.0441
5.4746 -5.4746 3.0441
5.4746 5.4746 -3.0441
ATOMIC_POSITIONS crystal
Ho 0.0814 0.7901 0.8715
Ho 0.2099 0.0814 0.2913
Ho 0.2901 0.5814 0.8715
Ho 0.4186 0.2901 0.7087
Ho 0.5814 0.7099 0.2913
Ho 0.7099 0.4186 0.1285
Ho 0.7901 0.9186 0.7087
Ho 0.9186 0.2099 0.1285
Er 0.2500 0.7500 0.5000
Er 0.7500 0.2500 0.5000
Rh 0.1563 0.3437 0.5000
Rh 0.2500 0.2500 0.0000
Rh 0.3437 0.8437 0.1874
Rh 0.6563 0.1563 0.8126
Rh 0.7500 0.7500 0.0000
Rh 0.8437 0.6563 0.5000
```

(5)
Computed, not measured: MoIr2Cl after structural relaxation at the PBE level of DFT. Values from VASP.

Computed properties:
- ΔE_f (raw): 945 meV/atom
- D(E_F): 5.713 states/eV/cell
- Relative energy among the computed polymorphs: 740 meV/atom
- Space-group type: P4/mmm (123)

Quantum ESPRESSO input file:
```
&SYSTEM
  ibrav = 0, nat = 4, ntyp = 3
/
ATOMIC_SPECIES
Mo 95.94 Mo.upf
Ir 192.22 Ir.upf
Cl 35.45 Cl.upf
CELL_PARAMETERS angstrom
4.7782 0.0000 0.0000
0.0000 4.7782 0.0000
0.0000 0.0000 2.7680
ATOMIC_POSITIONS crystal
Mo 0.0000 0.0000 0.0000
Ir 0.0000 0.5000 0.5000
Ir 0.5000 0.0000 0.5000
Cl 0.5000 0.5000 0.0000
```

(6)
Computed, not measured: La2HoAg5 after structural relaxation at the PBE level of DFT. Values from VASP.

Computed properties:
- D(E_F): 14.443 states/eV/cell
- Space-group type: I4/mmm (139)
- E_form: -0.204 eV per atom

Quantum ESPRESSO input file:
```
&SYSTEM
  ibrav = 0, nat = 16, ntyp = 3
/
ATOMIC_SPECIES
La 138.91 La.upf
Ho 164.93 Ho.upf
Ag 107.87 Ag.upf
CELL_PARAMETERS angstrom
5.1601 0.0000 0.0000
0.0000 5.1601 0.0000
0.0000 0.0000 14.6732
ATOMIC_POSITIONS crystal
La 0.0000 0.0000 0.2287
La 0.0000 0.0000 0.7713
La 0.5000 0.5000 0.2713
La 0.5000 0.5000 0.7287
Ho 0.0000 0.0000 0.5000
Ho 0.5000 0.5000 0.0000
Ag 0.0000 0.0000 0.0000
Ag 0.0000 0.5000 0.1077
Ag 0.0000 0.5000 0.3923
Ag 0.0000 0.5000 0.6077
Ag 0.0000 0.5000 0.8923
Ag 0.5000 0.0000 0.1077
Ag 0.5000 0.0000 0.3923
Ag 0.5000 0.0000 0.6077
Ag 0.5000 0.0000 0.8923
Ag 0.5000 0.5000 0.5000
```

Which of these has the highest D(E_F)? NaLaEuMg